# Pu2Rh4C

Crystalline Pu2Rh4C at its relaxed geometry (PBE, Alexandria).

As for the uncorrected energy: -9.740 eV per atom. Its symmetry is No. 139. The value obtained for the density of states at the Fermi level is 3.1515 states/eV/atom. The calculation puts the formation energy at -127 meV per atom.

Unit cell a=5.795 b=5.795 c=5.795 alpha=122.86 beta=122.86 gamma=85.12
Positions (direct):
Pu  0.250  0.750  0.500
Pu  0.750  0.250  0.500
Rh  0.246  0.246  0.491
Rh  0.246  0.754  0.000
Rh  0.754  0.246  0.000
Rh  0.754  0.754  0.509
C  0.500  0.500  0.000